1.
Here is LiZr2MnH after structural relaxation from the Alexandria database. Energies are from PBEsol.

abc: 4.5245 4.5245 3.3392
angles: 90.00 90.00 90.00
Sites, in units of the cell vectors:
Li 0.0000 0.0000 0.0000
Zr 0.0000 0.5000 0.5000
Zr 0.5000 0.0000 0.5000
Mn 0.5000 0.5000 0.0000
H 0.5000 0.5000 0.5000

---

2.
Here is La2ReRh after structural relaxation from the Alexandria database. Energies are from PBEsol.

* formation energy from the elements: 187 meV per atom

abc: 3.0143 3.0143 9.6262
angles: 90.00 90.00 90.00
Sites, in units of the cell vectors:
La 0.0000 0.0000 0.0000
La 0.5000 0.5000 0.3609
Re 0.0000 0.0000 0.6030
Rh 0.5000 0.5000 0.7561

---

no.,density of states at the Fermi level (states/eV/f.u.),total magnetization (μB/cell),total energy (eV/atom)
1,3.55,0.10,-6.667
2,4.10,0.00,-7.854